## CoCuTe (PBE)

Data for crystalline CoCuTe at its relaxed geometry.

Summary:
Relative energy among the computed polymorphs in eV per formula unit: 0.72

The structure in CIF format:
```
data_CoCuTe
_symmetry_space_group_name_H-M 'P 1'
_symmetry_Int_Tables_number 1
_cell_length_a 3.425
_cell_length_b 3.425
_cell_length_c 7.775
_cell_angle_alpha 90.00
_cell_angle_beta 90.00
_cell_angle_gamma 90.00
loop_
_symmetry_equiv_pos_as_xyz
'x,y,z'
loop_
_atom_site_label
_atom_site_fract_x
_atom_site_fract_y
_atom_site_fract_z
Co1 0.000 0.000 0.000
Co2 0.500 0.500 0.500
Cu1 0.000 0.000 0.332
Cu2 0.500 0.500 0.832
Te1 0.000 0.000 0.655
Te2 0.500 0.500 0.155
```

---

## CoCuTe (PBE)

Data for crystalline CoCuTe at its relaxed geometry.

Summary:
Relative energy among the computed polymorphs in eV per formula unit: 0.00

The structure in CIF format:
```
data_CoCuTe
_symmetry_space_group_name_H-M 'P 1'
_symmetry_Int_Tables_number 1
_cell_length_a 4.067
_cell_length_b 4.067
_cell_length_c 5.833
_cell_angle_alpha 90.00
_cell_angle_beta 90.00
_cell_angle_gamma 90.00
loop_
_symmetry_equiv_pos_as_xyz
'x,y,z'
loop_
_atom_site_label
_atom_site_fract_x
_atom_site_fract_y
_atom_site_fract_z
Co1 0.250 0.750 0.000
Co2 0.750 0.250 0.000
Cu1 0.250 0.250 0.274
Cu2 0.750 0.750 0.726
Te1 0.250 0.250 0.729
Te2 0.750 0.750 0.271
```

---

## CoCu2Te8 (PBE)

Data for crystalline CoCu2Te8 at its relaxed geometry.

The structure in CIF format:
```
data_CoCu2Te8
_symmetry_space_group_name_H-M 'P 1'
_symmetry_Int_Tables_number 1
_cell_length_a 7.587
_cell_length_b 7.587
_cell_length_c 5.665
_cell_angle_alpha 96.35
_cell_angle_beta 96.35
_cell_angle_gamma 78.70
loop_
_symmetry_equiv_pos_as_xyz
'x,y,z'
loop_
_atom_site_label
_atom_site_fract_x
_atom_site_fract_y
_atom_site_fract_z
Co1 0.000 0.000 0.000
Cu1 0.241 0.241 0.643
Cu2 0.759 0.759 0.357
Te1 0.096 0.749 0.272
Te2 0.216 0.216 0.172
Te3 0.251 0.904 0.728
Te4 0.460 0.460 0.730
Te5 0.540 0.540 0.270
Te6 0.749 0.096 0.272
Te7 0.784 0.784 0.828
Te8 0.904 0.251 0.728
```

---

## CoCuTe (PBE)

Data for crystalline CoCuTe at its relaxed geometry.

Summary:
Relative energy among the computed polymorphs in eV per formula unit: 1.10

The structure in CIF format:
```
data_CoCuTe
_symmetry_space_group_name_H-M 'P 1'
_symmetry_Int_Tables_number 1
_cell_length_a 3.811
_cell_length_b 3.811
_cell_length_c 4.107
_cell_angle_alpha 90.00
_cell_angle_beta 90.00
_cell_angle_gamma 120.00
loop_
_symmetry_equiv_pos_as_xyz
'x,y,z'
loop_
_atom_site_label
_atom_site_fract_x
_atom_site_fract_y
_atom_site_fract_z
Co1 0.000 0.000 0.000
Cu1 0.333 0.667 0.281
Te1 0.667 0.333 0.711
```

---

## CoCuTe (PBE)

Data for crystalline CoCuTe at its relaxed geometry.

Summary:
Relative energy among the computed polymorphs in eV per formula unit: 0.13

The structure in CIF format:
```
data_CoCuTe
_symmetry_space_group_name_H-M 'P 1'
_symmetry_Int_Tables_number 1
_cell_length_a 5.827
_cell_length_b 5.827
_cell_length_c 5.827
_cell_angle_alpha 90.00
_cell_angle_beta 90.00
_cell_angle_gamma 90.00
loop_
_symmetry_equiv_pos_as_xyz
'x,y,z'
loop_
_atom_site_label
_atom_site_fract_x
_atom_site_fract_y
_atom_site_fract_z
Co1 0.000 0.000 0.000
Co2 0.000 0.500 0.500
Co3 0.500 0.000 0.500
Co4 0.500 0.500 0.000
Cu1 0.250 0.250 0.250
Cu2 0.250 0.750 0.750
Cu3 0.750 0.250 0.750
Cu4 0.750 0.750 0.250
Te1 0.250 0.250 0.750
Te2 0.250 0.750 0.250
Te3 0.750 0.250 0.250
Te4 0.750 0.750 0.750
```

---

## CoCu4Te (PBE)

Data for crystalline CoCu4Te at its relaxed geometry.

The structure in CIF format:
```
data_CoCu4Te
_symmetry_space_group_name_H-M 'P 1'
_symmetry_Int_Tables_number 1
_cell_length_a 4.921
_cell_length_b 4.921
_cell_length_c 4.921
_cell_angle_alpha 60.00
_cell_angle_beta 60.00
_cell_angle_gamma 60.00
loop_
_symmetry_equiv_pos_as_xyz
'x,y,z'
loop_
_atom_site_label
_atom_site_fract_x
_atom_site_fract_y
_atom_site_fract_z
Co1 0.000 0.000 0.000
Cu1 0.122 0.626 0.626
Cu2 0.626 0.122 0.626
Cu3 0.626 0.626 0.122
Cu4 0.626 0.626 0.626
Te1 0.250 0.250 0.250
```

---

## Co2CuTe2 (PBE)

Data for crystalline Co2CuTe2 at its relaxed geometry.

The structure in CIF format:
```
data_Co2CuTe2
_symmetry_space_group_name_H-M 'P 1'
_symmetry_Int_Tables_number 1
_cell_length_a 6.849
_cell_length_b 6.849
_cell_length_c 3.521
_cell_angle_alpha 90.00
_cell_angle_beta 90.00
_cell_angle_gamma 90.00
loop_
_symmetry_equiv_pos_as_xyz
'x,y,z'
loop_
_atom_site_label
_atom_site_fract_x
_atom_site_fract_y
_atom_site_fract_z
Co1 0.132 0.368 0.000
Co2 0.368 0.868 0.000
Co3 0.632 0.132 0.000
Co4 0.868 0.632 0.000
Cu1 0.000 0.000 0.000
Cu2 0.500 0.500 0.000
Te1 0.169 0.669 0.500
Te2 0.331 0.169 0.500
Te3 0.669 0.831 0.500
Te4 0.831 0.331 0.500
```

---

## Co4CuTe (PBE)

Data for crystalline Co4CuTe at its relaxed geometry.

The structure in CIF format:
```
data_Co4CuTe
_symmetry_space_group_name_H-M 'P 1'
_symmetry_Int_Tables_number 1
_cell_length_a 4.850
_cell_length_b 4.850
_cell_length_c 4.850
_cell_angle_alpha 60.00
_cell_angle_beta 60.00
_cell_angle_gamma 60.00
loop_
_symmetry_equiv_pos_as_xyz
'x,y,z'
loop_
_atom_site_label
_atom_site_fract_x
_atom_site_fract_y
_atom_site_fract_z
Co1 0.124 0.124 0.124
Co2 0.124 0.124 0.627
Co3 0.124 0.627 0.124
Co4 0.627 0.124 0.124
Cu1 0.750 0.750 0.750
Te1 0.500 0.500 0.500
```

---

## CoCuTe (PBE)

Data for crystalline CoCuTe at its relaxed geometry.

Summary:
Relative energy among the computed polymorphs in eV per formula unit: 1.26

The structure in CIF format:
```
data_CoCuTe
_symmetry_space_group_name_H-M 'P 1'
_symmetry_Int_Tables_number 1
_cell_length_a 9.483
_cell_length_b 3.625
_cell_length_c 6.214
_cell_angle_alpha 90.00
_cell_angle_beta 90.00
_cell_angle_gamma 90.00
loop_
_symmetry_equiv_pos_as_xyz
'x,y,z'
loop_
_atom_site_label
_atom_site_fract_x
_atom_site_fract_y
_atom_site_fract_z
Co1 0.000 0.000 0.000
Co2 0.000 0.500 0.500
Co3 0.500 0.000 0.009
Co4 0.500 0.500 0.509
Cu1 0.366 0.000 0.673
Cu2 0.366 0.500 0.173
Cu3 0.634 0.000 0.673
Cu4 0.634 0.500 0.173
Te1 0.171 0.000 0.334
Te2 0.171 0.500 0.834
Te3 0.829 0.000 0.334
Te4 0.829 0.500 0.834
```

---

## Co3CuTe (PBE)

Data for crystalline Co3CuTe at its relaxed geometry.

Summary:
Relative energy among the computed polymorphs in eV per formula unit: 0.00

The structure in CIF format:
```
data_Co3CuTe
_symmetry_space_group_name_H-M 'P 1'
_symmetry_Int_Tables_number 1
_cell_length_a 4.366
_cell_length_b 4.366
_cell_length_c 4.366
_cell_angle_alpha 90.00
_cell_angle_beta 90.00
_cell_angle_gamma 90.00
loop_
_symmetry_equiv_pos_as_xyz
'x,y,z'
loop_
_atom_site_label
_atom_site_fract_x
_atom_site_fract_y
_atom_site_fract_z
Co1 0.000 0.000 0.500
Co2 0.000 0.500 0.000
Co3 0.500 0.000 0.000
Cu1 0.000 0.000 0.000
Te1 0.500 0.500 0.500
```

---

## Co2CuTe4 (PBE)

Data for crystalline Co2CuTe4 at its relaxed geometry.

The structure in CIF format:
```
data_Co2CuTe4
_symmetry_space_group_name_H-M 'P 1'
_symmetry_Int_Tables_number 1
_cell_length_a 7.608
_cell_length_b 7.608
_cell_length_c 7.604
_cell_angle_alpha 119.94
_cell_angle_beta 119.94
_cell_angle_gamma 90.05
loop_
_symmetry_equiv_pos_as_xyz
'x,y,z'
loop_
_atom_site_label
_atom_site_fract_x
_atom_site_fract_y
_atom_site_fract_z
Co1 0.000 0.000 0.000
Co2 0.000 0.000 0.500
Co3 0.000 0.500 0.000
Co4 0.500 0.000 0.500
Cu1 0.375 0.625 0.750
Cu2 0.625 0.375 0.250
Te1 0.211 0.237 0.974
Te2 0.236 0.762 0.474
Te3 0.237 0.211 0.474
Te4 0.238 0.764 0.026
Te5 0.762 0.236 0.974
Te6 0.763 0.789 0.526
Te7 0.764 0.238 0.526
Te8 0.789 0.763 0.026
```

---

Number 1: total magnetic moment 0.010 μB/atom, ΔE_f (raw) 267 meV/atom. Number 2: total magnetic moment 0.247 μB/atom, ΔE_f (raw) 26 meV/atom. Number 3: total magnetic moment 0.000 μB/atom, ΔE_f (raw) 43 meV/atom. Number 4: total magnetic moment 0.114 μB/atom, ΔE_f (raw) 392 meV/atom. Number 5: total magnetic moment 0.001 μB/atom, ΔE_f (raw) 71 meV/atom. Number 6: total magnetic moment 0.211 μB/atom, ΔE_f (raw) 300 meV/atom. Number 7: total magnetic moment 0.150 μB/atom, ΔE_f (raw) 274 meV/atom. Number 8: total magnetic moment 1.099 μB/atom, ΔE_f (raw) 347 meV/atom. Number 9: total magnetic moment 0.188 μB/atom, ΔE_f (raw) 447 meV/atom. Number 10: total magnetic moment 1.017 μB/atom, ΔE_f (raw) 1030 meV/atom. Number 11: total magnetic moment 0.000 μB/atom, ΔE_f (raw) -179 meV/atom.